No. 1
The following is a DFT calculation (GGA-PBE) of a relaxed structure of CdPd2PtO6.

```
CdPd2PtO6
1.0
3.6252 -5.1180 0.0000
3.6252 5.1180 0.0000
0.0000 0.0000 3.1814
Cd Pd Pt O
1 2 1 6
direct
0.0000 0.0000 0.0000
0.0000 0.5000 0.5000
0.5000 0.0000 0.5000
0.5000 0.5000 0.0000
0.1623 0.8377 0.5000
0.1681 0.4223 0.0000
0.4223 0.1681 0.0000
0.5777 0.8319 0.0000
0.8319 0.5777 0.0000
0.8377 0.1623 0.5000
```


No. 2
The following is a DFT calculation (GGA-PBE) of a relaxed structure of TbHoGeI2.

```
TbHoGeI2
1.0
4.2409 0.0000 0.0000
-2.1205 3.6727 0.0000
0.0000 0.0000 10.8172
Tb Ho Ge I
1 1 1 2
direct
0.0000 0.0000 0.0000
0.6667 0.3333 0.2877
0.3333 0.6667 0.1453
0.0000 0.0000 0.4713
0.6667 0.3333 0.8138
```


| no. | calculated total energy (eV per atom) |
| --- | --- |
| 1 | -5.30 |
| 2 | -4.60 |